# SnH10C3Br3N

Crystalline SnH10C3Br3N at its relaxed geometry (PBE-GGA, the Alexandria database).

a = 6.660 Å, b = 12.903 Å, c = 6.823 Å
α = 90.00°, β = 96.86°, γ = 90.00°
Positions (direct):
Sn (0.057, 0.000, 0.053)
Sn (0.943, 0.500, 0.947)
H (0.198, 0.687, 0.417)
H (0.217, 0.768, 0.632)
H (0.317, 0.397, 0.477)
H (0.325, 0.289, 0.313)
H (0.339, 0.285, 0.762)
H (0.350, 0.172, 0.610)
H (0.360, 0.846, 0.362)
H (0.389, 0.662, 0.621)
H (0.453, 0.696, 0.191)
H (0.494, 0.891, 0.690)
H (0.506, 0.391, 0.310)
H (0.547, 0.196, 0.809)
H (0.611, 0.162, 0.379)
H (0.640, 0.346, 0.638)
H (0.650, 0.672, 0.390)
H (0.661, 0.785, 0.238)
H (0.675, 0.789, 0.687)
H (0.683, 0.897, 0.523)
H (0.783, 0.268, 0.368)
H (0.802, 0.187, 0.583)
C (0.302, 0.722, 0.535)
C (0.416, 0.346, 0.403)
C (0.439, 0.232, 0.695)
C (0.561, 0.732, 0.305)
C (0.584, 0.846, 0.597)
C (0.698, 0.222, 0.465)
Br (0.035, 0.791, 0.018)
Br (0.076, 0.996, 0.451)
Br (0.465, 0.003, 0.076)
Br (0.535, 0.503, 0.924)
Br (0.924, 0.496, 0.549)
Br (0.965, 0.291, 0.982)
N (0.446, 0.791, 0.444)
N (0.554, 0.291, 0.556)

SG = P2_1
DFT total energy = -4.73 eV per atom